(P)
The following is a SCAN calculation of Mn2PbSe at its PBEsol-relaxed geometry, from Alexandria.

Cell lengths 4.729, 4.729, 4.729 Å; angles 122.36, 122.36, 85.95 degrees
Fractional coordinates of all 4 atoms:
Mn (0.250, 0.750, 0.500)
Mn (0.750, 0.250, 0.500)
Pb (0.000, 0.000, 0.000)
Se (0.500, 0.500, 0.000)

Computed properties:
**ρ**: 9.1 g/cm3
**Crystal system**: tetragonal

(Q)
The following is a SCAN calculation of Mn2PbSe at its PBEsol-relaxed geometry, from Alexandria.

Cell lengths 4.792, 4.792, 4.792 Å; angles 60.00, 60.00, 60.00 degrees
Fractional coordinates of all 4 atoms:
Mn (0.000, 0.000, 0.000)
Mn (0.250, 0.250, 0.250)
Pb (0.500, 0.500, 0.500)
Se (0.750, 0.750, 0.750)

Computed properties:
**ρ**: 8.5 g/cm3
**Crystal system**: cubic

What should be chosen as the most stable of them? Choose (P).

(P)
The following is a SCAN calculation of MnTcPb2 at its PBEsol-relaxed geometry, from Alexandria.

Cell lengths 4.732, 4.732, 4.732 Å; angles 60.00, 60.00, 60.00 degrees
Fractional coordinates of all 4 atoms:
Mn (0.000, 0.000, 0.000)
Tc (0.500, 0.500, 0.500)
Pb (0.250, 0.250, 0.250)
Pb (0.750, 0.750, 0.750)

Computed properties:
**ρ**: 12.6 g/cm3
**Crystal system**: cubic

(Q)
The following is a SCAN calculation of MnTcPb2 at its PBEsol-relaxed geometry, from Alexandria.

Cell lengths 3.531, 4.277, 5.151 Å; angles 90.00, 90.00, 90.00 degrees
Fractional coordinates of all 4 atoms:
Mn (0.000, 0.000, 0.000)
Tc (0.500, 0.000, 0.500)
Pb (0.000, 0.500, 0.500)
Pb (0.500, 0.500, 0.000)

Computed properties:
**ρ**: 12.1 g/cm3
**Crystal system**: orthorhombic

What should be chosen as the most stable of them? Choose (P).

(P)
The following is a SCAN calculation of MnTl2Pb at its PBEsol-relaxed geometry, from Alexandria.

Cell lengths 6.293, 6.293, 5.281 Å; angles 114.35, 114.35, 30.72 degrees
Fractional coordinates of all 4 atoms:
Mn (0.000, 0.000, 0.000)
Tl (0.283, 0.283, 0.783)
Tl (0.717, 0.717, 0.217)
Pb (0.500, 0.500, 0.500)

Computed properties:
**ρ**: 11.5 g/cm3
**Crystal system**: monoclinic

(Q)
The following is a SCAN calculation of MnTl2Pb at its PBEsol-relaxed geometry, from Alexandria.

Cell lengths 10.133, 10.133, 10.133 Å; angles 19.09, 19.09, 19.09 degrees
Fractional coordinates of all 4 atoms:
Mn (0.000, 0.000, 0.000)
Tl (0.261, 0.261, 0.261)
Tl (0.739, 0.739, 0.739)
Pb (0.500, 0.500, 0.500)

Computed properties:
**ρ**: 11.5 g/cm3
**Crystal system**: trigonal

What should be chosen as the most stable of them? Choose (P).

(P)
The following is a SCAN calculation of MnTl2Pb at its PBEsol-relaxed geometry, from Alexandria.

Cell lengths 3.329, 3.329, 8.749 Å; angles 90.00, 90.00, 90.21 degrees
Fractional coordinates of all 4 atoms:
Mn (0.000, 0.000, 0.000)
Tl (0.000, 0.000, 0.514)
Tl (0.500, 0.500, 0.801)
Pb (0.500, 0.500, 0.208)

Computed properties:
**ρ**: 11.5 g/cm3
**Crystal system**: orthorhombic

(Q)
The following is a SCAN calculation of MnTl2Pb at its PBEsol-relaxed geometry, from Alexandria.

Cell lengths 4.292, 6.886, 6.886 Å; angles 29.11, 90.00, 90.00 degrees
Fractional coordinates of all 4 atoms:
Mn (0.000, 0.000, 0.000)
Tl (0.000, 0.225, 0.225)
Tl (0.500, 0.851, 0.851)
Pb (0.500, 0.564, 0.564)

Computed properties:
**ρ**: 11.3 g/cm3
**Crystal system**: orthorhombic

What should be chosen as the most stable of them? Choose (P).

(P)
The following is a SCAN calculation of MnPtSe2 at its PBEsol-relaxed geometry, from Alexandria.

Cell lengths 4.493, 4.493, 4.493 Å; angles 60.00, 60.00, 60.00 degrees
Fractional coordinates of all 4 atoms:
Mn (0.000, 0.000, 0.000)
Pt (0.500, 0.500, 0.500)
Se (0.250, 0.250, 0.250)
Se (0.750, 0.750, 0.750)

Computed properties:
**ρ**: 10.6 g/cm3
**Crystal system**: cubic

(Q)
The following is a SCAN calculation of MnPtSe2 at its PBEsol-relaxed geometry, from Alexandria.

Cell lengths 4.554, 4.554, 4.554 Å; angles 60.00, 60.00, 60.00 degrees
Fractional coordinates of all 4 atoms:
Mn (0.000, 0.000, 0.000)
Pt (0.250, 0.250, 0.250)
Se (0.500, 0.500, 0.500)
Se (0.750, 0.750, 0.750)

Computed properties:
**ρ**: 10.1 g/cm3
**Crystal system**: cubic

(R)
The following is a SCAN calculation of MnPtSe2 at its PBEsol-relaxed geometry, from Alexandria.

Cell lengths 3.127, 3.127, 6.327 Å; angles 90.00, 90.00, 90.00 degrees
Fractional coordinates of all 4 atoms:
Mn (0.000, 0.000, 0.000)
Pt (0.000, 0.000, 0.500)
Se (0.500, 0.500, 0.231)
Se (0.500, 0.500, 0.769)

Computed properties:
**ρ**: 10.9 g/cm3
**Crystal system**: tetragonal

What should be chosen as the most stable of them? Choose (P).

(P)
The following is a SCAN calculation of TaMn2Pt at its PBEsol-relaxed geometry, from Alexandria.

Cell lengths 4.619, 4.619, 4.778 Å; angles 101.00, 101.00, 34.49 degrees
Fractional coordinates of all 4 atoms:
Ta (0.000, 0.000, 0.000)
Mn (0.247, 0.247, 0.746)
Mn (0.753, 0.753, 0.254)
Pt (0.500, 0.500, 0.500)

Computed properties:
**ρ**: 14.3 g/cm3
**Crystal system**: monoclinic

(Q)
The following is a SCAN calculation of TaMn2Pt at its PBEsol-relaxed geometry, from Alexandria.

Cell lengths 4.734, 4.734, 4.734 Å; angles 133.52, 133.52, 67.83 degrees
Fractional coordinates of all 4 atoms:
Ta (0.000, 0.000, 0.000)
Mn (0.250, 0.750, 0.500)
Mn (0.500, 0.500, 0.000)
Pt (0.750, 0.250, 0.500)

Computed properties:
**ρ**: 14.7 g/cm3
**Crystal system**: tetragonal

What should be chosen as the most stable of them? Choose (Q).

(P)
The following is a SCAN calculation of TaMn2Pt at its PBEsol-relaxed geometry, from Alexandria.

Cell lengths 8.805, 8.805, 8.805 Å; angles 18.24, 18.24, 18.24 degrees
Fractional coordinates of all 4 atoms:
Ta (0.000, 0.000, 0.000)
Mn (0.249, 0.249, 0.249)
Mn (0.751, 0.751, 0.751)
Pt (0.500, 0.500, 0.500)

Computed properties:
**ρ**: 13.8 g/cm3
**Crystal system**: trigonal

(Q)
The following is a SCAN calculation of TaMn2Pt at its PBEsol-relaxed geometry, from Alexandria.

Cell lengths 3.865, 3.865, 3.623 Å; angles 90.00, 90.00, 90.00 degrees
Fractional coordinates of all 4 atoms:
Ta (0.000, 0.000, 0.000)
Mn (0.000, 0.500, 0.500)
Mn (0.500, 0.000, 0.500)
Pt (0.500, 0.500, 0.000)

Computed properties:
**ρ**: 14.9 g/cm3
**Crystal system**: tetragonal

What should be chosen as the most stable of them? Choose (Q).

(P)
The following is a SCAN calculation of MnTcPt2 at its PBEsol-relaxed geometry, from Alexandria.

Cell lengths 3.229, 3.229, 5.454 Å; angles 90.00, 90.00, 90.00 degrees
Fractional coordinates of all 4 atoms:
Mn (0.000, 0.000, 0.000)
Tc (0.500, 0.500, 0.752)
Pt (0.000, 0.000, 0.506)
Pt (0.500, 0.500, 0.234)

Computed properties:
**ρ**: 15.9 g/cm3
**Crystal system**: tetragonal

(Q)
The following is a SCAN calculation of MnTcPt2 at its PBEsol-relaxed geometry, from Alexandria.

Cell lengths 4.677, 4.677, 4.677 Å; angles 131.84, 131.84, 70.48 degrees
Fractional coordinates of all 4 atoms:
Mn (0.000, 0.000, 0.000)
Tc (0.250, 0.750, 0.500)
Pt (0.500, 0.500, 0.000)
Pt (0.750, 0.250, 0.500)

Computed properties:
**ρ**: 16.2 g/cm3
**Crystal system**: tetragonal

(R)
The following is a SCAN calculation of MnTcPt2 at its PBEsol-relaxed geometry, from Alexandria.

Cell lengths 4.701, 4.701, 4.646 Å; angles 99.73, 99.73, 33.81 degrees
Fractional coordinates of all 4 atoms:
Mn (0.000, 0.000, 0.000)
Tc (0.500, 0.500, 0.500)
Pt (0.250, 0.250, 0.749)
Pt (0.750, 0.750, 0.251)

Computed properties:
**ρ**: 16.0 g/cm3
**Crystal system**: monoclinic

What should be chosen as the most stable of them? Choose (Q).

(P)
The following is a SCAN calculation of MnTc2Pt at its PBEsol-relaxed geometry, from Alexandria.

Cell lengths 4.109, 5.166, 5.166 Å; angles 29.57, 90.00, 90.00 degrees
Fractional coordinates of all 4 atoms:
Mn (0.000, 0.000, 0.000)
Tc (0.000, 0.758, 0.758)
Tc (0.500, 0.402, 0.402)
Pt (0.500, 0.139, 0.139)

Computed properties:
**ρ**: 13.7 g/cm3
**Crystal system**: orthorhombic

(Q)
The following is a SCAN calculation of MnTc2Pt at its PBEsol-relaxed geometry, from Alexandria.

Cell lengths 4.303, 4.303, 4.303 Å; angles 60.00, 60.00, 60.00 degrees
Fractional coordinates of all 4 atoms:
Mn (0.000, 0.000, 0.000)
Tc (0.500, 0.500, 0.500)
Tc (0.750, 0.750, 0.750)
Pt (0.250, 0.250, 0.250)

Computed properties:
**ρ**: 13.1 g/cm3
**Crystal system**: cubic

(R)
The following is a SCAN calculation of MnTc2Pt at its PBEsol-relaxed geometry, from Alexandria.

Cell lengths 2.664, 3.792, 5.380 Å; angles 90.00, 90.00, 90.00 degrees
Fractional coordinates of all 4 atoms:
Mn (0.000, 0.000, 0.000)
Tc (0.000, 0.000, 0.524)
Tc (0.500, 0.500, 0.761)
Pt (0.500, 0.500, 0.252)

Computed properties:
**ρ**: 13.6 g/cm3
**Crystal system**: orthorhombic

What should be chosen as the most stable of them? Choose (R).

(P)
The following is a SCAN calculation of MnTePt at its PBEsol-relaxed geometry, from Alexandria.

Cell lengths 3.845, 3.845, 4.443 Å; angles 90.00, 90.00, 120.00 degrees
Fractional coordinates of all 3 atoms:
Mn (0.000, 0.000, 0.000)
Te (0.333, 0.667, 0.365)
Pt (0.667, 0.333, 0.730)

Computed properties:
**ρ**: 11.0 g/cm3
**Crystal system**: trigonal

(Q)
The following is a SCAN calculation of MnTePt at its PBEsol-relaxed geometry, from Alexandria.

Cell lengths 4.299, 4.299, 4.299 Å; angles 60.00, 60.00, 60.00 degrees
Fractional coordinates of all 3 atoms:
Mn (0.000, 0.000, 0.000)
Te (0.250, 0.250, 0.250)
Pt (0.750, 0.750, 0.750)

Computed properties:
**ρ**: 11.2 g/cm3
**Crystal system**: cubic

What should be chosen as the most stable of them? Choose (P).

(P)
The following is a SCAN calculation of MnTl2Pt at its PBEsol-relaxed geometry, from Alexandria.

Cell lengths 4.725, 4.725, 4.725 Å; angles 60.00, 60.00, 60.00 degrees
Fractional coordinates of all 4 atoms:
Mn (0.000, 0.000, 0.000)
Tl (0.250, 0.250, 0.250)
Tl (0.750, 0.750, 0.750)
Pt (0.500, 0.500, 0.500)

Computed properties:
**ρ**: 14.7 g/cm3
**Crystal system**: cubic

(Q)
The following is a SCAN calculation of MnTl2Pt at its PBEsol-relaxed geometry, from Alexandria.

Cell lengths 3.269, 4.623, 5.178 Å; angles 90.00, 92.07, 90.00 degrees
Fractional coordinates of all 4 atoms:
Mn (0.000, 0.000, 0.000)
Tl (0.260, 0.500, 0.750)
Tl (0.740, 0.500, 0.250)
Pt (0.500, 0.000, 0.500)

Computed properties:
**ρ**: 14.0 g/cm3
**Crystal system**: monoclinic

(R)
The following is a SCAN calculation of MnTl2Pt at its PBEsol-relaxed geometry, from Alexandria.

Cell lengths 3.278, 3.278, 7.603 Å; angles 90.00, 90.00, 90.00 degrees
Fractional coordinates of all 4 atoms:
Mn (0.000, 0.000, 0.000)
Tl (0.000, 0.000, 0.412)
Tl (0.500, 0.500, 0.748)
Pt (0.500, 0.500, 0.157)

Computed properties:
**ρ**: 13.4 g/cm3
**Crystal system**: tetragonal

What should be chosen as the most stable of them? Choose (R).

(P)
The following is a SCAN calculation of MnTlPt at its PBEsol-relaxed geometry, from Alexandria.

Cell lengths 5.023, 5.023, 5.023 Å; angles 140.01, 140.01, 57.84 degrees
Fractional coordinates of all 3 atoms:
Mn (0.000, 0.000, 0.000)
Tl (0.682, 0.682, 0.000)
Pt (0.361, 0.361, 0.000)

Computed properties:
**ρ**: 14.5 g/cm3
**Crystal system**: tetragonal

(Q)
The following is a SCAN calculation of MnTlPt at its PBEsol-relaxed geometry, from Alexandria.

Cell lengths 4.416, 4.416, 4.416 Å; angles 60.00, 60.00, 60.00 degrees
Fractional coordinates of all 3 atoms:
Mn (0.000, 0.000, 0.000)
Tl (0.500, 0.500, 0.500)
Pt (0.750, 0.750, 0.750)

Computed properties:
**ρ**: 12.4 g/cm3
**Crystal system**: cubic

What should be chosen as the most stable of them? Choose (Q).

(P)
The following is a SCAN calculation of Mn2PtW at its PBEsol-relaxed geometry, from Alexandria.

Cell lengths 4.625, 4.625, 4.625 Å; angles 132.82, 132.82, 68.93 degrees
Fractional coordinates of all 4 atoms:
Mn (0.000, 0.000, 0.000)
Mn (0.750, 0.250, 0.500)
Pt (0.500, 0.500, 0.000)
W (0.250, 0.750, 0.500)

Computed properties:
**ρ**: 15.5 g/cm3
**Crystal system**: tetragonal

(Q)
The following is a SCAN calculation of Mn2PtW at its PBEsol-relaxed geometry, from Alexandria.

Cell lengths 4.248, 4.248, 4.248 Å; angles 60.00, 60.00, 60.00 degrees
Fractional coordinates of all 4 atoms:
Mn (0.250, 0.250, 0.250)
Mn (0.750, 0.750, 0.750)
Pt (0.000, 0.000, 0.000)
W (0.500, 0.500, 0.500)

Computed properties:
**ρ**: 15.0 g/cm3
**Crystal system**: cubic

What should be chosen as the most stable of them? Choose (Q).